Model 1:
This record from the Open Quantum Materials Database describes a geometry-optimized ScBiW structure. The functional is GGA-PBE.

Summary:
Space group: P3m1 (156)

a b c (Å): 4.8724 4.8724 9.5845
angles (deg): 90.00 90.00 120.00
Element x y z (fractional)
Bi 0.0000 0.0000 0.3014
Bi 0.0000 0.0000 0.6306
Bi 0.0000 0.0000 0.9550
Sc 0.6667 0.3333 0.1087
Sc 0.3333 0.6667 0.5357
Sc 0.6667 0.3333 0.7684
W 0.3333 0.6667 0.2479
W 0.6667 0.3333 0.4202
W 0.3333 0.6667 0.9880

---

Model 2:
This record from the Open Quantum Materials Database describes a geometry-optimized ScBiW structure. The functional is GGA-PBE.

Summary:
Space group: F-43m (216)

a b c (Å): 4.7049 4.7049 4.7049
angles (deg): 60.00 60.00 60.00
Element x y z (fractional)
Bi 0.2500 0.2500 0.2500
Sc 0.7500 0.7500 0.7500
W 0.0000 0.0000 0.0000

---

The structure with the most favorable energy is model 1; the runner-up is 0.390 eV/atom above it.

---

Model 1:
This record from the Open Quantum Materials Database describes a geometry-optimized TaSiBi structure. The functional is GGA-PBE.

Summary:
Space group: F-43m (216)

a b c (Å): 4.5615 4.5615 4.5615
angles (deg): 60.00 60.00 60.00
Element x y z (fractional)
Bi 0.2500 0.2500 0.2500
Si 0.0000 0.0000 0.0000
Ta 0.7500 0.7500 0.7500

---

Model 2:
This record from the Open Quantum Materials Database describes a geometry-optimized TaSiBi structure. The functional is GGA-PBE.

Summary:
Space group: F-43m (216)

a b c (Å): 4.6738 4.6738 4.6738
angles (deg): 60.00 60.00 60.00
Element x y z (fractional)
Bi 0.2500 0.2500 0.2500
Si 0.7500 0.7500 0.7500
Ta 0.0000 0.0000 0.0000

---

The structure with the most favorable energy is model 1; the runner-up is 0.005 eV/atom above it.

---

Model 1:
This record from the Open Quantum Materials Database describes a geometry-optimized USiBi structure. The functional is GGA-PBE.

Summary:
Space group: F-43m (216)

a b c (Å): 4.9588 4.9588 4.9588
angles (deg): 60.00 60.00 60.00
Element x y z (fractional)
Bi 0.2500 0.2500 0.2500
Si 0.7500 0.7500 0.7500
U 0.0000 0.0000 0.0000

---

Model 2:
This record from the Open Quantum Materials Database describes a geometry-optimized USiBi structure. The functional is GGA-PBE.

Summary:
Space group: F-43m (216)

a b c (Å): 4.8074 4.8074 4.8074
angles (deg): 60.00 60.00 60.00
Element x y z (fractional)
Bi 0.2500 0.2500 0.2500
Si 0.0000 0.0000 0.0000
U 0.7500 0.7500 0.7500

---

The structure with the most favorable energy is model 2; the runner-up is 0.141 eV/atom above it.

---

Model 1:
This record from the Open Quantum Materials Database describes a geometry-optimized SmTcBi structure. The functional is GGA-PBE.

Summary:
Space group: F-43m (216)

a b c (Å): 4.8933 4.8933 4.8933
angles (deg): 60.00 60.00 60.00
Element x y z (fractional)
Bi 0.0000 0.0000 0.0000
Sm 0.2500 0.2500 0.2500
Tc 0.7500 0.7500 0.7500

---

Model 2:
This record from the Open Quantum Materials Database describes a geometry-optimized SmTcBi structure. The functional is GGA-PBE.

Summary:
Space group: F-43m (216)

a b c (Å): 4.9697 4.9697 4.9697
angles (deg): 60.00 60.00 60.00
Element x y z (fractional)
Bi 0.2500 0.2500 0.2500
Sm 0.0000 0.0000 0.0000
Tc 0.7500 0.7500 0.7500

---

The structure with the most favorable energy is model 1; the runner-up is 0.478 eV/atom above it.

---

Model 1:
This record from the Open Quantum Materials Database describes a geometry-optimized SmTlBi structure. The functional is GGA-PBE.

Summary:
Space group: F-43m (216)

a b c (Å): 5.2574 5.2574 5.2574
angles (deg): 60.00 60.00 60.00
Element x y z (fractional)
Bi 0.2500 0.2500 0.2500
Sm 0.7500 0.7500 0.7500
Tl 0.0000 0.0000 0.0000

---

Model 2:
This record from the Open Quantum Materials Database describes a geometry-optimized SmTlBi structure. The functional is GGA-PBE.

Summary:
Space group: F-43m (216)

a b c (Å): 5.2793 5.2793 5.2793
angles (deg): 60.00 60.00 60.00
Element x y z (fractional)
Bi 0.2500 0.2500 0.2500
Sm 0.0000 0.0000 0.0000
Tl 0.7500 0.7500 0.7500

---

The structure with the most favorable energy is model 2; the runner-up is 0.092 eV/atom above it.

---

Model 1:
This record from the Open Quantum Materials Database describes a geometry-optimized SmBiW structure. The functional is GGA-PBE.

Summary:
Space group: F-43m (216)

a b c (Å): 5.0945 5.0945 5.0945
angles (deg): 60.00 60.00 60.00
Element x y z (fractional)
Bi 0.2500 0.2500 0.2500
Sm 0.0000 0.0000 0.0000
W 0.7500 0.7500 0.7500

---

Model 2:
This record from the Open Quantum Materials Database describes a geometry-optimized SmBiW structure. The functional is GGA-PBE.

Summary:
Space group: F-43m (216)

a b c (Å): 4.8825 4.8825 4.8825
angles (deg): 60.00 60.00 60.00
Element x y z (fractional)
Bi 0.0000 0.0000 0.0000
Sm 0.2500 0.2500 0.2500
W 0.7500 0.7500 0.7500

---

The structure with the most favorable energy is model 2; the runner-up is 0.440 eV/atom above it.